Mg5Bi PBE relaxed; total energy = -12.24 eV for the cell shown; energy of formation = -0.064 eV/atom; SG = No. 65
1.0
-3.257 -1.777 -2.798
2.233 -3.939 -0.098
-4.677 -0.185 5.563
Bi Mg
1 5
Cartesian
0.000 0.000 0.000
-0.512 -2.858 -1.448
-2.847 -4.271 2.167
-2.855 -1.631 0.500
-2.348 -1.421 3.636
-0.096 -2.704 1.829